A plane-wave DFT calculation with PBE was carried out for a relaxed structure of CoTe.

abc: 5.294 5.294 3.801
angles: 90.00 90.00 140.25
Each line ends with the local moment (μB).
Element x y z (fractional)
Co 0.911 0.089 0.750  0.37
Co 0.089 0.911 0.250  0.37
Te 0.642 0.358 0.750  0.00
Te 0.358 0.642 0.250  0.00

- raw formation energy (eV/atom) = 0.149
- calculated density (g cm⁻³) = 9.1